No. 1
The following is a DFT calculation (GGA-PBE) of a geometry-optimized TaOs2PbBr structure.

Output
The energy relative to the elements, uncorrected comes out at 1926 meV/atom. Its density of states at the Fermi level is 4.9 states/eV/f.u.

a b c (Å): 4.6507 4.6507 4.7836
angles (deg): 90.00 90.00 90.00
Closest atoms and distances in Å follow each position.
Atoms (fractional coordinates):
Ta (0.0000, 0.0000, 0.0000)  2 Br 2.39
Os (0.0000, 0.5000, 0.5000)  2 Br 2.33
Os (0.5000, 0.0000, 0.5000)  2 Br 2.33
Pb (0.5000, 0.5000, 0.0000)  4 Ta 3.29, 8 Os 3.34
Br (0.0000, 0.0000, 0.5000)  4 Os 2.33, 2 Ta 2.39



No. 2
The following is a DFT calculation (GGA-PBE) of a geometry-optimized LaDyZn2Ga2 structure.

Output
The calculation puts the energy relative to the elements at -0.568 eV/atom. Its density of states at the Fermi level is 3.6 states/eV/f.u.

a b c (Å): 4.4708 4.4708 7.5684
angles (deg): 90.00 90.00 120.00
Closest atoms and distances in Å follow each position.
Atoms (fractional coordinates):
La (0.0000, 0.0000, 0.0000)  6 Ga 3.31, 6 Zn 3.37
Dy (0.0000, 0.0000, 0.5000)  6 Zn 3.05, 6 Ga 3.10
Zn (0.3333, 0.6667, 0.2857)  3 Ga 2.58
Zn (0.6667, 0.3333, 0.7143)  3 Ga 2.58
Ga (0.3333, 0.6667, 0.7268)  3 Zn 2.58
Ga (0.6667, 0.3333, 0.2732)  3 Zn 2.58



No. 3
The following is a DFT calculation (GGA-PBE) of a geometry-optimized La5Dy4Tl4 structure.

Output
The calculation puts the energy relative to the elements at -0.261 eV/atom. Its density of states at the Fermi level is 14.9 states/eV/f.u.

a b c (Å): 9.5024 9.5024 9.5024
angles (deg): 94.06 94.06 149.12
Closest atoms and distances in Å follow each position.
Atoms (fractional coordinates):
La (0.0000, 0.0000, 0.0000)  4 Tl 3.32
La (0.3027, 0.3891, 0.6918)  5 Tl 3.35-3.66, 2 Dy 3.68
La (0.3891, 0.6973, 0.0864)  5 Tl 3.35-3.66, 2 Dy 3.68
La (0.6109, 0.3027, 0.9136)  5 Tl 3.35-3.66, 2 Dy 3.68
La (0.6973, 0.6109, 0.3082)  5 Tl 3.35-3.66, 2 Dy 3.68
Dy (0.0928, 0.5967, 0.6895)  3 Tl 3.15-3.32, 5 Dy 3.47-3.53
Dy (0.4033, 0.0928, 0.4962)  3 Tl 3.15-3.32, 5 Dy 3.47-3.53
Dy (0.5967, 0.9072, 0.5038)  3 Tl 3.15-3.32, 5 Dy 3.47-3.53
Dy (0.9072, 0.4033, 0.3105)  3 Tl 3.15-3.32, 5 Dy 3.47-3.53
Tl (0.0881, 0.2411, 0.3292)  3 Dy 3.15-3.32, 4 La 3.32-3.38
Tl (0.2411, 0.9119, 0.1530)  3 Dy 3.15-3.32, 4 La 3.32-3.38
Tl (0.7589, 0.0881, 0.8470)  3 Dy 3.15-3.32, 4 La 3.32-3.38
Tl (0.9119, 0.7589, 0.6708)  3 Dy 3.15-3.32, 4 La 3.32-3.38



No. 4
The following is a DFT calculation (GGA-PBE) of a geometry-optimized PmHg2 structure.

Output
The value obtained for the distance to the lowest polymorph of the same formula is 80 meV/atom. The calculation puts the energy relative to the elements at -0.367 eV/atom. Its density of states at the Fermi level is 2.0 states/eV/f.u.

a b c (Å): 5.5736 5.5922 10.1612
angles (deg): 90.00 90.00 90.00
Closest atoms and distances in Å follow each position.
Atoms (fractional coordinates):
Pm (0.0000, 0.0000, 0.0000)  10 Hg 3.28-3.36
Pm (0.0000, 0.5000, 0.5000)  10 Hg 3.28-3.36
Pm (0.5000, 0.0000, 0.5000)  10 Hg 3.28-3.36
Pm (0.5000, 0.5000, 0.0000)  10 Hg 3.28-3.36
Hg (0.0000, 0.0000, 0.3307)  5 Hg 3.23-3.44, 5 Pm 3.28-3.36
Hg (0.0000, 0.0000, 0.6693)  5 Hg 3.23-3.44, 5 Pm 3.28-3.36
Hg (0.0000, 0.5000, 0.1693)  5 Hg 3.23-3.44, 5 Pm 3.28-3.36
Hg (0.0000, 0.5000, 0.8307)  5 Hg 3.23-3.44, 5 Pm 3.28-3.36
Hg (0.5000, 0.0000, 0.1693)  5 Hg 3.23-3.44, 5 Pm 3.28-3.36
Hg (0.5000, 0.0000, 0.8307)  5 Hg 3.23-3.44, 5 Pm 3.28-3.36
Hg (0.5000, 0.5000, 0.3307)  5 Hg 3.23-3.44, 5 Pm 3.28-3.36
Hg (0.5000, 0.5000, 0.6693)  5 Hg 3.23-3.44, 5 Pm 3.28-3.36



No. 5
The following is a DFT calculation (GGA-PBE) of a geometry-optimized Y2Si4Ir3Au structure.

Output
The energy relative to the elements, uncorrected comes out at -893 meV/atom. Its density of states at the Fermi level is 6.2 states/eV/f.u.

a b c (Å): 4.1659 4.1659 10.0002
angles (deg): 90.00 90.00 90.00
Closest atoms and distances in Å follow each position.
Atoms (fractional coordinates):
Y (0.0000, 0.5000, 0.2380)  6 Ir 3.16-3.35, 8 Si 3.16-3.18, 2 Au 3.35
Y (0.5000, 0.0000, 0.7620)  6 Ir 3.16-3.35, 8 Si 3.16-3.18, 2 Au 3.35
Si (0.0000, 0.0000, 0.0000)  4 Ir 2.42
Si (0.0000, 0.5000, 0.6418)  3 Ir 2.34-2.52, 2 Au 2.52
Si (0.5000, 0.0000, 0.3582)  3 Ir 2.34-2.52, 2 Au 2.52
Si (0.5000, 0.5000, 0.0000)  4 Ir 2.42
Ir (0.0000, 0.5000, 0.8763)  5 Si 2.34-2.42
Ir (0.5000, 0.0000, 0.1237)  5 Si 2.34-2.42
Ir (0.5000, 0.5000, 0.5000)  4 Si 2.52
Au (0.0000, 0.0000, 0.5000)  4 Si 2.52



No. 6
The following is a DFT calculation (GGA-PBE) of a geometry-optimized BaDyTi4O12 structure.

Output
The energy relative to the elements, uncorrected comes out at -2651 meV/atom. Its density of states at the Fermi level is 5.0 states/eV/f.u.

a b c (Å): 5.5270 5.5270 7.7660
angles (deg): 90.00 90.00 90.00
Closest atoms and distances in Å follow each position.
Atoms (fractional coordinates):
Ba (0.0000, 0.0000, 0.0000)  12 O 2.76-2.91
Dy (0.5000, 0.5000, 0.5000)  12 O 2.60-2.76
Ti (0.0000, 0.5000, 0.2519)  6 O 1.93-1.96
Ti (0.0000, 0.5000, 0.7481)  6 O 1.93-1.96
Ti (0.5000, 0.0000, 0.2519)  6 O 1.93-1.96
Ti (0.5000, 0.0000, 0.7481)  6 O 1.93-1.96
O (0.0000, 0.5000, 0.0000)  2 Ti 1.96
O (0.0000, 0.5000, 0.5000)  2 Ti 1.93
O (0.2592, 0.2592, 0.2687)  2 Ti 1.96
O (0.2592, 0.2592, 0.7313)  2 Ti 1.96
O (0.2592, 0.7408, 0.2687)  2 Ti 1.96
O (0.2592, 0.7408, 0.7313)  2 Ti 1.96
O (0.5000, 0.0000, 0.0000)  2 Ti 1.96
O (0.5000, 0.0000, 0.5000)  2 Ti 1.93
O (0.7408, 0.2592, 0.2687)  2 Ti 1.96
O (0.7408, 0.2592, 0.7313)  2 Ti 1.96
O (0.7408, 0.7408, 0.2687)  2 Ti 1.96
O (0.7408, 0.7408, 0.7313)  2 Ti 1.96



No. 7
The following is a DFT calculation (GGA-PBE) of a geometry-optimized Ba2SnBiAu6 structure.

Output
The calculation puts the energy relative to the elements at -0.294 eV/atom. Its density of states at the Fermi level is 3.0 states/eV/f.u.

a b c (Å): 7.6584 7.6584 7.6584
angles (deg): 60.00 60.00 60.00
Closest atoms and distances in Å follow each position.
Atoms (fractional coordinates):
Ba (0.2500, 0.2500, 0.2500)  12 Au 3.83
Ba (0.7500, 0.7500, 0.7500)  12 Au 3.83
Sn (0.0000, 0.0000, 0.0000)  6 Au 2.65
Bi (0.5000, 0.5000, 0.5000)  6 Au 2.76
Au (0.2448, 0.2448, 0.7552)  1 Sn 2.65, 1 Bi 2.76
Au (0.2448, 0.7552, 0.2448)  1 Sn 2.65, 1 Bi 2.76
Au (0.2448, 0.7552, 0.7552)  1 Sn 2.65, 1 Bi 2.76
Au (0.7552, 0.2448, 0.2448)  1 Sn 2.65, 1 Bi 2.76
Au (0.7552, 0.2448, 0.7552)  1 Sn 2.65, 1 Bi 2.76
Au (0.7552, 0.7552, 0.2448)  1 Sn 2.65, 1 Bi 2.76



No. 8
The following is a DFT calculation (GGA-PBE) of a geometry-optimized Ca2GeO structure.

Output
The value obtained for the distance to the lowest polymorph of the same formula is 0 meV/atom. The energy relative to the elements, uncorrected comes out at -1440 meV/atom. Its density of states at the Fermi level is 0.5 states/eV/f.u.

a b c (Å): 6.7727 6.7727 8.2757
angles (deg): 90.00 90.00 90.00
Closest atoms and distances in Å follow each position.
Atoms (fractional coordinates):
Ca (0.1488, 0.2500, 0.1250)  2 O 2.23
Ca (0.2500, 0.6488, 0.3750)  2 O 2.23
Ca (0.2500, 0.8512, 0.8750)  2 O 2.23
Ca (0.3512, 0.2500, 0.6250)  2 O 2.23
Ca (0.6488, 0.7500, 0.6250)  2 O 2.23
Ca (0.7500, 0.1488, 0.8750)  2 O 2.23
Ca (0.7500, 0.3512, 0.3750)  2 O 2.23
Ca (0.8512, 0.7500, 0.1250)  2 O 2.23
Ge (0.0000, 0.0000, 0.5000)  4 Ca 3.10
Ge (0.0000, 0.5000, 0.7500)  4 Ca 3.10
Ge (0.5000, 0.0000, 0.2500)  4 Ca 3.10
Ge (0.5000, 0.5000, 0.0000)  4 Ca 3.10
O (0.0000, 0.0000, 0.0000)  4 Ca 2.23
O (0.0000, 0.5000, 0.2500)  4 Ca 2.23
O (0.5000, 0.0000, 0.7500)  4 Ca 2.23
O (0.5000, 0.5000, 0.5000)  4 Ca 2.23